Entry 1:
Below is a geometry-optimized La6HgAu5 structure, with properties calculated at the GGA-PBE level.

Computed properties:
- formation energy from the elements (eV/atom) = -0.73
- crystal system = orthorhombic
- volume (A^3/atom) = 27.44

a b c (Å): 5.3831 7.5632 16.1776
angles (deg): 90.00 90.00 90.00
Space group Immm (No. 71)
Unique sites:
La  0.0000  0.2397  0.0000
La  0.0000  0.2543  0.3294
Hg  0.0000  0.0000  0.5000
Au  0.0000  0.0000  0.1680
Au  0.0000  0.5000  0.1567
Au  0.0000  0.5000  0.5000

=====

Entry 2:
Below is a geometry-optimized Tb2DyCu structure, with properties calculated at the GGA-PBE level.

Computed properties:
- formation energy from the elements (eV/atom) = -0.09
- excess energy over the best structure of this formula in the dataset (eV/atom) = 0.009
- crystal system = tetragonal
- volume (A^3/atom) = 26.58

a b c (Å): 3.5111 3.5111 8.6233
angles (deg): 90.00 90.00 90.00
Space group P4/mmm (No. 123)
Unique sites:
Tb  0.0000  0.0000  0.1993
Dy  0.5000  0.5000  0.5000
Cu  0.5000  0.5000  0.0000

=====

Entry 3:
Below is a geometry-optimized CdIn2Ga structure, with properties calculated at the GGA-PBE level.

Computed properties:
- formation energy from the elements (eV/atom) = 0.05
- crystal system = tetragonal
- volume (A^3/atom) = 24.18

a b c (Å): 4.6229 4.6229 4.5253
angles (deg): 90.00 90.00 90.00
Space group P4/mmm (No. 123)
Unique sites:
Cd  0.0000  0.0000  0.0000
In  0.0000  0.5000  0.5000
Ga  0.5000  0.5000  0.0000

=====

Entry 4:
Below is a geometry-optimized Ho4ZrRh3 structure, with properties calculated at the GGA-PBE level.

Computed properties:
- formation energy from the elements (eV/atom) = -0.71
- crystal system = tetragonal
- volume (A^3/atom) = 22.02

a b c (Å): 10.8804 10.8804 5.9521
angles (deg): 90.00 90.00 90.00
Space group I4/mcm (No. 140)
Unique sites:
Ho  0.0813  0.2133  0.0000
Zr  0.0000  0.5000  0.2500
Rh  0.0000  0.0000  0.2500
Rh  0.1546  0.3454  0.5000

=====

Entry 5:
Below is a geometry-optimized MgZrBr2 structure, with properties calculated at the GGA-PBE level.

Computed properties:
- excess energy over the best structure of this formula in the dataset (eV/atom) = 0.110
- crystal system = monoclinic
- volume (A^3/atom) = 33.63
- energy relative to the elements, uncorrected (meV/atom) = -626

a b c (Å): 15.7909 3.3356 5.4307
angles (deg): 90.00 109.85 90.00
Space group C2/m (No. 12)
Unique sites:
Mg  0.0000  0.0000  0.0000
Zr  0.0000  0.5000  0.5000
Br  0.1473  0.0000  0.6456

=====

Entry 6:
Below is a geometry-optimized Sc3Be2Si3 structure, with properties calculated at the GGA-PBE level.

Computed properties:
- crystal system = orthorhombic
- volume (A^3/atom) = 15.88
- energy relative to the elements, uncorrected (meV/atom) = -597

a b c (Å): 3.7595 9.8218 13.7609
angles (deg): 90.00 90.00 90.00
Space group Cmcm (No. 63)
Unique sites:
Sc  0.0000  0.0785  0.2500
Sc  0.0000  0.3680  0.0983
Be  0.0000  0.3434  0.6193
Si  0.0000  0.0883  0.0557
Si  0.0000  0.2043  0.7500

=====

Entry 7:
Below is a geometry-optimized LaTm2Pb structure, with properties calculated at the GGA-PBE level.

Computed properties:
- formation energy from the elements (eV/atom) = 0.05
- excess energy over the best structure of this formula in the dataset (eV/atom) = 0.390
- crystal system = trigonal
- volume (A^3/atom) = 31.35

a b c (Å): 3.4715 3.4715 36.0490
angles (deg): 90.00 90.00 120.00
Space group R-3m (No. 166, hexagonal axes)
Unique sites:
La  0.0000  0.0000  0.0000
Tm  0.0000  0.0000  0.0941
Pb  0.0000  0.0000  0.5000

=====

Entry 8:
Below is a geometry-optimized MgBiPt3 structure, with properties calculated at the GGA-PBE level.

Computed properties:
- formation energy from the elements (eV/atom) = 0.72
- excess energy over the best structure of this formula in the dataset (eV/atom) = 0.293
- crystal system = cubic
- volume (A^3/atom) = 26.12

a b c (Å): 5.0739 5.0739 5.0739
angles (deg): 90.00 90.00 90.00
Space group Pm-3m (No. 221)
Unique sites:
Mg  0.0000  0.0000  0.0000
Bi  0.5000  0.5000  0.5000
Pt  0.0000  0.5000  0.5000

=====

Entry 9:
Below is a geometry-optimized Cr2Ni6Ru structure, with properties calculated at the GGA-PBE level.

Computed properties:
- formation energy from the elements (eV/atom) = 0.02
- excess energy over the best structure of this formula in the dataset (eV/atom) = 0.000
- crystal system = monoclinic
- volume (A^3/atom) = 11.35

a b c (Å): 10.8098 3.5512 5.6123
angles (deg): 90.00 108.51 90.00
Space group C2/m (No. 12)
Unique sites:
Cr  0.0573  0.0000  0.3342
Ni  0.1092  0.5000  0.6617
Ni  0.1680  0.0000  0.0005
Ni  0.2231  0.5000  0.3395
Ru  0.0000  0.5000  0.0000

=====

Entry 10:
Below is a geometry-optimized TaCd2InF structure, with properties calculated at the GGA-PBE level.

Computed properties:
- crystal system = tetragonal
- volume (A^3/atom) = 25.61
- energy relative to the elements, uncorrected (meV/atom) = -34

a b c (Å): 5.6517 5.6517 4.0092
angles (deg): 90.00 90.00 90.00
Space group P4/mmm (No. 123)
Unique sites:
Ta  0.0000  0.0000  0.0000
Cd  0.0000  0.5000  0.0000
In  0.5000  0.5000  0.5000
F  0.0000  0.0000  0.5000

=====

Entry 11:
Below is a geometry-optimized La7Tb2Ho structure, with properties calculated at the GGA-PBE level.

Computed properties:
- formation energy from the elements (eV/atom) = 0.33
- excess energy over the best structure of this formula in the dataset (eV/atom) = 0.000
- crystal system = orthorhombic
- volume (A^3/atom) = 37.02

a b c (Å): 12.2118 17.0843 3.5485
angles (deg): 90.00 90.00 90.00
Space group Cmmm (No. 65)
Unique sites:
La  0.0000  0.0000  0.0000
La  0.0000  0.1806  0.5000
La  0.2454  0.1293  0.0000
Tb  0.0000  0.3349  0.0000
Ho  0.0000  0.5000  0.5000

=====

Entry 12:
Below is a geometry-optimized AcNdInPt structure, with properties calculated at the GGA-PBE level.

Computed properties:
- formation energy from the elements (eV/atom) = -0.59
- crystal system = cubic
- volume (A^3/atom) = 28.63

a b c (Å): 7.7087 7.7087 7.7087
angles (deg): 90.00 90.00 90.00
Space group F-43m (No. 216)
Unique sites:
Ac  0.0000  0.0000  0.0000
Nd  0.0000  0.0000  0.5000
In  0.2500  0.2500  0.2500
Pt  0.2500  0.2500  0.7500

=====

| no. | calculated total energy (hartree per atom) |
| --- | --- |
| 1 | -0.1686 |
| 2 | -0.1683 |
| 3 | -0.0848 |
| 4 | -0.2507 |
| 5 | -0.1469 |
| 6 | -0.2182 |
| 7 | -0.1595 |
| 8 | -0.1468 |
| 9 | -0.2574 |
| 10 | -0.1357 |
| 11 | -0.1655 |
| 12 | -0.1839 |